6
Lattice="5.033 0.000 0.000 0.000 5.033 0.000 0.000 0.000 7.169" Properties=species:S:1:pos:R:3 comment="Y4HgAu, optimized geometry, DFT GGA-PBE" delta_e_f_ev_per_atom=-0.298 spacegroup="P4/mmm (123)" magmom_total_mub_per_cell=0.00 e_tot_ev_per_atom=-5.20 dos_at_fermi_per_ev_cell=6.724 pbc="T T T"
Y 0.000 2.516 1.735
Y 0.000 2.516 5.434
Y 2.516 0.000 1.735
Y 2.516 0.000 5.434
Hg 0.000 0.000 3.585
Au 2.516 2.516 0.000